Material: Sm2AuO4F
Method: DFT, PBE
State: optimized geometry

Unit cell a=3.508 b=5.473 c=6.693 alpha=64.08 beta=74.81 gamma=71.31
Sites, in units of the cell vectors:
F  0.500  0.500  0.500
O  0.834  0.018  0.313
O  0.637  0.660  0.066
O  0.363  0.340  0.934
O  0.166  0.982  0.687
Au  0.000  0.000  0.000
Sm  0.815  0.662  0.708
Sm  0.185  0.338  0.292

Computed properties:
uncorrected energy: -6.6376 eV/atom
density of states at the Fermi level: 1.5 states/eV/f.u.
total magnetic moment: 0.00 μB/atom



Material: SnAuO2F
Method: DFT, PBE
State: optimized geometry

Unit cell a=4.057 b=4.057 c=4.223 alpha=90.00 beta=90.00 gamma=90.00
Sites, in units of the cell vectors:
O  0.500  0.000  0.000
O  0.000  0.500  0.000
Sn  0.000  0.000  0.000
Au  0.500  0.500  0.500
F  0.000  0.000  0.500

Computed properties:
uncorrected energy: -4.6761 eV/atom
density of states at the Fermi level: 2.7 states/eV/f.u.
total magnetic moment: 0.00 μB/atom



Material: SnAuO2F
Method: DFT, PBE
State: optimized geometry

Unit cell a=4.161 b=4.161 c=4.383 alpha=90.00 beta=90.00 gamma=90.00
Sites, in units of the cell vectors:
O  0.500  0.000  0.000
O  0.000  0.500  0.000
F  0.000  0.000  0.500
Sn  0.500  0.500  0.500
Au  0.000  0.000  0.000

Computed properties:
uncorrected energy: -4.2033 eV/atom
density of states at the Fermi level: 1.9 states/eV/f.u.
total magnetic moment: 0.00 μB/atom



Material: SrAuO2F
Method: DFT, PBE
State: optimized geometry

Unit cell a=4.138 b=4.138 c=4.478 alpha=90.00 beta=90.00 gamma=90.00
Sites, in units of the cell vectors:
O  0.000  0.500  0.000
O  0.500  0.000  0.000
F  0.000  0.000  0.500
Au  0.000  0.000  0.000
Sr  0.500  0.500  0.500

Computed properties:
uncorrected energy: -4.6903 eV/atom
density of states at the Fermi level: 1.7 states/eV/f.u.
total magnetic moment: 0.00 μB/atom



Material: SrAuO2F
Method: DFT, PBE
State: optimized geometry

Unit cell a=4.756 b=4.756 c=4.572 alpha=90.00 beta=90.00 gamma=90.00
Sites, in units of the cell vectors:
F  0.000  0.000  0.500
O  0.000  0.500  0.000
O  0.500  0.000  0.000
Au  0.500  0.500  0.500
Sr  0.000  0.000  0.000

Computed properties:
uncorrected energy: -3.9270 eV/atom
density of states at the Fermi level: 6.5 states/eV/f.u.
total magnetic moment: 0.40 μB/atom



Material: TaAuO2F
Method: DFT, PBE
State: optimized geometry

Unit cell a=4.183 b=4.183 c=4.211 alpha=90.00 beta=90.00 gamma=90.00
Sites, in units of the cell vectors:
Au  0.000  0.000  0.000
Ta  0.500  0.500  0.500
O  0.000  0.500  0.000
O  0.500  0.000  0.000
F  0.000  0.000  0.500

Computed properties:
uncorrected energy: -4.8688 eV/atom
density of states at the Fermi level: 6.1 states/eV/f.u.
total magnetic moment: 0.52 μB/atom



Material: TaAuO2F
Method: DFT, PBE
State: optimized geometry

Unit cell a=3.984 b=3.984 c=4.242 alpha=90.00 beta=90.00 gamma=90.00
Sites, in units of the cell vectors:
Au  0.500  0.500  0.500
Ta  0.000  0.000  0.000
O  0.000  0.500  0.000
O  0.500  0.000  0.000
F  0.000  0.000  0.500

Computed properties:
uncorrected energy: -7.0159 eV/atom
density of states at the Fermi level: 2.4 states/eV/f.u.
total magnetic moment: 0.00 μB/atom



Material: TaAu2OF
Method: DFT, PBE
State: optimized geometry

Unit cell a=4.754 b=3.948 c=4.754 alpha=90.00 beta=90.00 gamma=90.00
Sites, in units of the cell vectors:
O  0.500  0.500  0.500
Au  0.000  0.000  0.500
Au  0.500  0.000  0.000
F  0.000  0.000  0.000
Ta  0.000  0.500  0.000

Computed properties:
uncorrected energy: -4.2107 eV/atom
density of states at the Fermi level: 4.8 states/eV/f.u.
total magnetic moment: 0.00 μB/atom